BaCdOs2 PBE-GGA relaxed; energy relative to the elements = 1382 meV per atom; space group = P4/mmm; crystal system = tetragonal
1.0
4.625 0.000 0.000
0.000 4.303 0.000
0.000 0.000 4.303
Os Cd Ba
2 1 1
Direct
0.000 0.000 0.000
0.000 0.500 0.500
0.500 0.000 0.500
0.500 0.500 0.000



BaCd2Os PBE-GGA relaxed; energy relative to the elements = 403 meV per atom; space group = C2/m; crystal system = monoclinic
1.0
-3.885 0.906 -2.510
-4.051 -2.138 1.113
-4.017 3.956 3.140
Cd Ba Os
2 1 1
Direct
0.451 0.451 0.646
0.049 0.049 0.854
0.250 0.250 0.250
0.750 0.750 0.750



Fermi-level density of states: 4.7, 2.5 (states/eV per cell)
Total DFT energy (no corrections): -4.942, -3.343 (eV/atom)